A relaxed structure of MoH2Rh, computed with GGA-PBE.

Cell and atoms, written as POSCAR:
```
MoH2Rh
1.0
4.2219 0.0000 0.0000
0.0000 4.2219 0.0000
2.1110 2.1110 4.1198
Rh H Mo
2 4 2
Direct
0.0000 0.0000 0.0000 Rh
0.7500 0.2500 0.5000 Rh
0.1063 0.6250 0.2500 H
0.3750 0.3563 0.7500 H
0.8750 0.8937 0.7500 H
0.6437 0.1250 0.2500 H
0.5000 0.5000 0.0000 Mo
0.2500 0.7500 0.5000 Mo
```

Results
The value obtained for the density of states at the Fermi level is 2.1 states/eV/f.u. The theoretical density is 9.1 g/cm³. The calculation puts the total DFT energy (no corrections) at -6.159 eV per atom.

=====

A relaxed structure of MgAgN2F, computed with GGA-PBE.

Cell and atoms, written as POSCAR:
```
MgAgN2F
1.0
4.2561 0.0000 0.0000
0.0000 4.2561 0.0000
0.0000 0.0000 3.8104
Mg F Ag N
1 1 1 2
Direct
0.0000 0.0000 0.0000 Mg
0.0000 0.0000 0.5000 F
0.5000 0.5000 0.5000 Ag
0.5000 0.0000 0.0000 N
0.0000 0.5000 0.0000 N
```

Results
The value obtained for the density of states at the Fermi level is 3.0 states/eV/f.u. The theoretical density is 4.3 g/cm³. The formation energy without anion corrections is 0.521 eV per atom.

=====

A relaxed structure of SmTh2PaC4, computed with GGA-PBE.

Cell and atoms, written as POSCAR:
```
SmTh2PaC4
1.0
3.7207 0.0000 0.0000
0.0000 6.4318 -0.1327
0.0000 2.2577 6.0146
Sm Th C Pa
1 2 4 1
Direct
0.5000 0.5000 0.0000 Sm
0.0000 0.0000 0.0000 Th
0.5000 0.0000 0.5000 Th
0.5000 0.2633 0.7328 C
0.0000 0.7443 0.7339 C
0.5000 0.7367 0.2672 C
0.0000 0.2557 0.2661 C
0.0000 0.5000 0.5000 Pa
```

Results
The value obtained for the density of states at the Fermi level is 4.8 states/eV/f.u. The theoretical density is 10.2 g/cm³. The calculation puts the total DFT energy (no corrections) at -8.498 eV per atom.

=====

A relaxed structure of PmAsC, computed with GGA-PBE.

Cell and atoms, written as POSCAR:
```
PmAsC
1.0
3.2574 0.1540 -0.2641
1.2206 4.8796 -2.3637
1.1300 -6.7603 9.9934
C As Pm
2 2 2
Direct
0.8463 0.1787 0.0392 C
0.8081 0.2551 0.3627 C
0.4450 0.9814 0.8739 As
0.0720 0.7273 0.5293 As
0.4179 0.0356 0.4470 Pm
0.5485 0.7744 0.0476 Pm
```

Results
The value obtained for the density of states at the Fermi level is 0.6 states/eV/f.u. The theoretical density is 7.1 g/cm³. The calculation puts the total DFT energy (no corrections) at -6.272 eV per atom.

=====

A relaxed structure of CoTcIr2, computed with GGA-PBE.

Cell and atoms, written as POSCAR:
```
CoTcIr2
1.0
-0.6697 2.2435 -1.3734
-0.6100 -1.5111 -2.1708
-7.0076 -0.6215 2.4016
Tc Ir Co
1 2 1
Direct
0.5000 0.5000 0.2500 Tc
0.0000 0.0000 0.5078 Ir
0.0000 0.0000 0.9922 Ir
0.5000 0.5000 0.7500 Co
```

Results
The value obtained for the density of states at the Fermi level is 4.0 states/eV/f.u. The theoretical density is 16.4 g/cm³. The calculation puts the total DFT energy (no corrections) at -8.883 eV per atom.

=====

A relaxed structure of MgAsHPd2, computed with GGA-PBE.

Cell and atoms, written as POSCAR:
```
MgAsHPd2
1.0
-0.3259 1.5076 3.7364
-4.0135 -0.4503 -0.1684
0.3619 -3.8130 1.5701
Mg H As Pd
1 1 1 2
Direct
0.0000 0.0000 0.5000 Mg
0.0000 0.0000 0.0000 H
0.5000 0.5000 0.5000 As
0.0000 0.5000 0.0000 Pd
0.5000 0.0000 0.0000 Pd
```

Results
The value obtained for the density of states at the Fermi level is 3.0 states/eV/f.u. The theoretical density is 7.7 g/cm³. The calculation puts the total DFT energy (no corrections) at -4.306 eV per atom.

=====

A relaxed structure of Th2Ga3CuPt4, computed with GGA-PBE.

Cell and atoms, written as POSCAR:
```
Th2Ga3CuPt4
1.0
4.1852 0.0000 0.0000
0.0000 4.1852 0.0000
0.0000 0.0000 10.9190
Th Pt Ga Cu
2 4 3 1
Direct
0.0000 0.5000 0.7409 Th
0.5000 0.0000 0.2591 Th
0.5000 0.0000 0.6414 Pt
0.5000 0.5000 0.0000 Pt
0.0000 0.0000 0.0000 Pt
0.0000 0.5000 0.3586 Pt
0.0000 0.0000 0.5000 Ga
0.5000 0.0000 0.8687 Ga
0.0000 0.5000 0.1313 Ga
0.5000 0.5000 0.5000 Cu
```

Results
The value obtained for the density of states at the Fermi level is 7.1 states/eV/f.u. The theoretical density is 13.2 g/cm³. The calculation puts the total DFT energy (no corrections) at -6.088 eV per atom.

=====

A relaxed structure of Li6DyCd12, computed with GGA-PBE.

Cell and atoms, written as POSCAR:
```
Li6DyCd12
1.0
7.7998 -0.1252 -0.1763
-2.0547 7.5253 -0.1763
-2.0547 -2.6467 7.0468
Cd Li Dy
12 6 1
Direct
0.1175 0.8825 0.5000 Cd
0.5000 0.8825 0.1175 Cd
0.3950 0.1485 0.3950 Cd
0.8515 0.6050 0.6050 Cd
0.3950 0.3950 0.1485 Cd
0.1175 0.5000 0.8825 Cd
0.6050 0.6050 0.8515 Cd
0.1485 0.3950 0.3950 Cd
0.8825 0.5000 0.1175 Cd
0.6050 0.8515 0.6050 Cd
0.5000 0.1175 0.8825 Cd
0.8825 0.1175 0.5000 Cd
0.7099 0.2763 0.2763 Li
0.2901 0.7237 0.7237 Li
0.2763 0.7099 0.2763 Li
0.2763 0.2763 0.7099 Li
0.7237 0.2901 0.7237 Li
0.7237 0.7237 0.2901 Li
0.0000 0.0000 0.0000 Dy
```

Results
The value obtained for the density of states at the Fermi level is 3.9 states/eV/f.u. The theoretical density is 6.4 g/cm³. The calculation puts the total DFT energy (no corrections) at -1.504 eV per atom.